# Ca2ZrSb

A relaxed structure of Ca2ZrSb (PBE-GGA, the Alexandria database).

Lattice parameters (Å, degrees): 11.0985 11.0985 11.0985 18.08 18.08 18.08
Closest atoms and distances in Å follow each position.
Fractional positions:
Sb: 0.2500 0.2500 0.2500  6 Ca 3.33, 6 Sb 3.49
Ca: 0.9976 0.9976 0.9976  3 Sb 3.33, 3 Zr 3.45, 6 Ca 3.49
Ca: 0.5024 0.5024 0.5024  3 Sb 3.33, 3 Zr 3.45, 6 Ca 3.49
Zr: 0.7500 0.7500 0.7500  6 Ca 3.45, 6 Zr 3.49

Output
Formation energy (no corrections) = -0.076 eV/atom
Space group = No. 166

=====

# CeAl4Cu

A relaxed structure of CeAl4Cu (PBE-GGA, the Alexandria database).

Lattice parameters (Å, degrees): 5.0685 5.0685 10.8666 103.49 103.49 90.00
Closest atoms and distances in Å follow each position.
Fractional positions:
Ce: 0.0000 0.0000 0.0000  12 Al 3.34-3.48, 4 Cu 3.58
Ce: 0.7500 0.2500 0.5000  12 Al 3.34-3.48, 4 Cu 3.58
Al: 0.5989 0.3459 0.1978  1 Cu 2.40, 2 Al 2.50-2.57
Al: 0.6019 0.8489 0.6978  1 Cu 2.40, 2 Al 2.50-2.57
Al: 0.0959 0.8489 0.6978  1 Cu 2.40, 2 Al 2.50-2.57
Al: 0.5989 0.8519 0.1978  1 Cu 2.40, 2 Al 2.50-2.57
Al: 0.1511 0.3981 0.3022  1 Cu 2.40, 2 Al 2.50-2.57
Al: 0.6541 0.4011 0.8022  1 Cu 2.40, 2 Al 2.50-2.57
Al: 0.1481 0.4011 0.8022  1 Cu 2.40, 2 Al 2.50-2.57
Al: 0.1511 0.9041 0.3022  1 Cu 2.40, 2 Al 2.50-2.57
Cu: 0.5000 0.5000 0.0000  4 Al 2.40
Cu: 0.2500 0.7500 0.5000  4 Al 2.40

Output
Final energy = -4.075 eV/atom
Space group = No. 141

=====

# Ho3ScIn

A relaxed structure of Ho3ScIn (PBE-GGA, the Alexandria database).

Lattice parameters (Å, degrees): 5.1174 6.6752 8.5799 91.15 107.35 90.00
Closest atoms and distances in Å follow each position.
Fractional positions:
Ho: 0.9936 0.7442 0.9871  1 In 3.13, 3 Ho 3.27-3.42, 2 Sc 3.42
Ho: 0.0064 0.2558 0.0129  1 In 3.13, 3 Ho 3.27-3.42, 2 Sc 3.42
Ho: 0.3904 0.0103 0.7808  2 Sc 3.27-3.41, 3 In 3.38-3.55, 8 Ho 3.45-3.60
Ho: 0.6096 0.9897 0.2192  2 Sc 3.27-3.41, 3 In 3.38-3.55, 8 Ho 3.45-3.60
Ho: 0.2025 0.7330 0.4050  3 In 3.04-3.26, 2 Sc 3.38
Ho: 0.7975 0.2670 0.5950  3 In 3.04-3.26, 2 Sc 3.38
Sc: 0.6055 0.4996 0.2110  9 Ho 3.27-3.56, 3 In 3.44-3.62, 1 Sc 3.46
Sc: 0.3945 0.5004 0.7890  9 Ho 3.27-3.56, 3 In 3.44-3.62, 1 Sc 3.46
In: 0.8024 0.7553 0.6048  6 Ho 3.04-3.38
In: 0.1976 0.2447 0.3952  6 Ho 3.04-3.38

Output
Polymorph energy (0 for the lowest one) = 0.010 eV/atom
Space group = No. 12